Entry from Alexandria: Ba12As3S5 after structural relaxation (PBE-GGA).

Values from the calculation:
formation energy from raw total energies: -1243 meV/atom
N(E_F): 59.07 states/eV/cell
size of the total moment: 0.00 Bohr magnetons per cell
symmetry: Ia-3d (230)

a b c (Å): 16.3634 16.3634 16.3634
angles (deg): 109.47 109.47 109.47
With the nearest neighbours (Å) after each atom.
Fractional positions:
Ba 0.0448 0.2188 0.1334  2 S 2.96-3.18
Ba 0.0448 0.3260 0.9114  2 S 2.96-3.18
Ba 0.0854 0.7188 0.6740  2 S 2.96-3.18
Ba 0.0854 0.8666 0.4114  2 S 2.96-3.18
Ba 0.0886 0.6334 0.4146  2 S 2.96-3.18
Ba 0.0886 0.9552 0.6740  2 S 2.96-3.18
Ba 0.1334 0.0448 0.2188  2 S 2.96-3.18
Ba 0.1334 0.5886 0.9146  2 S 2.96-3.18
Ba 0.1740 0.2188 0.5854  2 S 2.96-3.18
Ba 0.1740 0.4552 0.5886  2 S 2.96-3.18
Ba 0.2188 0.1334 0.0448  2 S 2.96-3.18
Ba 0.2188 0.5854 0.1740  2 S 2.96-3.18
Ba 0.2812 0.3260 0.9146  2 S 2.96-3.18
Ba 0.2812 0.4552 0.3666  2 S 2.96-3.18
Ba 0.3260 0.9114 0.0448  2 S 2.96-3.18
Ba 0.3260 0.9146 0.2812  2 S 2.96-3.18
Ba 0.3666 0.2812 0.4552  2 S 2.96-3.18
Ba 0.3666 0.5854 0.9114  2 S 2.96-3.18
Ba 0.4114 0.0854 0.8666  2 S 2.96-3.18
Ba 0.4114 0.8260 0.5448  2 S 2.96-3.18
Ba 0.4146 0.0886 0.6334  2 S 2.96-3.18
Ba 0.4146 0.8260 0.7812  2 S 2.96-3.18
Ba 0.4552 0.3666 0.2812  2 S 2.96-3.18
Ba 0.4552 0.5886 0.1740  2 S 2.96-3.18
Ba 0.5448 0.4114 0.8260  2 S 2.96-3.18
Ba 0.5448 0.6334 0.7188  2 S 2.96-3.18
Ba 0.5854 0.1740 0.2188  2 S 2.96-3.18
Ba 0.5854 0.9114 0.3666  2 S 2.96-3.18
Ba 0.5886 0.1740 0.4552  2 S 2.96-3.18
Ba 0.5886 0.9146 0.1334  2 S 2.96-3.18
Ba 0.6334 0.4146 0.0886  2 S 2.96-3.18
Ba 0.6334 0.7188 0.5448  2 S 2.96-3.18
Ba 0.6740 0.0854 0.7188  2 S 2.96-3.18
Ba 0.6740 0.0886 0.9552  2 S 2.96-3.18
Ba 0.7188 0.5448 0.6334  2 S 2.96-3.18
Ba 0.7188 0.6740 0.0854  2 S 2.96-3.18
Ba 0.7812 0.4146 0.8260  2 S 2.96-3.18
Ba 0.7812 0.8666 0.9552  2 S 2.96-3.18
Ba 0.8260 0.5448 0.4114  2 S 2.96-3.18
Ba 0.8260 0.7812 0.4146  2 S 2.96-3.18
Ba 0.8666 0.4114 0.0854  2 S 2.96-3.18
Ba 0.8666 0.9552 0.7812  2 S 2.96-3.18
Ba 0.9114 0.0448 0.3260  2 S 2.96-3.18
Ba 0.9114 0.3666 0.5854  2 S 2.96-3.18
Ba 0.9146 0.1334 0.5886  2 S 2.96-3.18
Ba 0.9146 0.2812 0.3260  2 S 2.96-3.18
Ba 0.9552 0.6740 0.0886  2 S 2.96-3.18
Ba 0.9552 0.7812 0.8666  2 S 2.96-3.18
As 0.1250 0.2500 0.3750  8 Ba 3.52-3.56
As 0.1250 0.3750 0.7500  8 Ba 3.52-3.56
As 0.2500 0.3750 0.1250  8 Ba 3.52-3.56
As 0.2500 0.8750 0.6250  8 Ba 3.52-3.56
As 0.3750 0.1250 0.2500  8 Ba 3.52-3.56
As 0.3750 0.7500 0.1250  8 Ba 3.52-3.56
As 0.6250 0.2500 0.8750  8 Ba 3.52-3.56
As 0.6250 0.8750 0.7500  8 Ba 3.52-3.56
As 0.7500 0.1250 0.3750  8 Ba 3.52-3.56
As 0.7500 0.6250 0.8750  8 Ba 3.52-3.56
As 0.8750 0.6250 0.2500  8 Ba 3.52-3.56
As 0.8750 0.7500 0.6250  8 Ba 3.52-3.56
S 0.0000 0.0000 0.0000  6 Ba 3.18
S 0.0000 0.0000 0.5000  6 Ba 3.18
S 0.0000 0.5000 0.0000  6 Ba 3.18
S 0.0000 0.5000 0.5000  6 Ba 3.18
S 0.1250 0.7500 0.8750  4 Ba 2.96
S 0.1250 0.8750 0.2500  4 Ba 2.96
S 0.2500 0.1250 0.8750  4 Ba 2.96
S 0.2500 0.6250 0.3750  4 Ba 2.96
S 0.3750 0.2500 0.6250  4 Ba 2.96
S 0.3750 0.6250 0.7500  4 Ba 2.96
S 0.5000 0.0000 0.0000  6 Ba 3.18
S 0.5000 0.0000 0.5000  6 Ba 3.18
S 0.5000 0.5000 0.0000  6 Ba 3.18
S 0.5000 0.5000 0.5000  6 Ba 3.18
S 0.6250 0.3750 0.2500  4 Ba 2.96
S 0.6250 0.7500 0.3750  4 Ba 2.96
S 0.7500 0.3750 0.6250  4 Ba 2.96
S 0.7500 0.8750 0.1250  4 Ba 2.96
S 0.8750 0.1250 0.7500  4 Ba 2.96
S 0.8750 0.2500 0.1250  4 Ba 2.96